1.
This record from the Alexandria database describes Li17Pb4 at its PBEsol-relaxed geometry. The functional is meta-GGA SCAN.

Geometry as POSCAR:
```
Li17Pb4
1.0
0.000 9.853 9.853
9.853 0.000 9.853
9.853 9.853 0.000
Li Pb
85 20
Direct
0.000 0.000 0.000
0.007 0.007 0.320
0.007 0.007 0.667
0.007 0.320 0.007
0.007 0.320 0.667
0.007 0.667 0.007
0.007 0.667 0.320
0.059 0.419 0.761
0.059 0.761 0.419
0.059 0.761 0.761
0.075 0.075 0.075
0.075 0.075 0.775
0.075 0.775 0.075
0.076 0.076 0.424
0.076 0.424 0.076
0.076 0.424 0.424
0.089 0.304 0.304
0.172 0.172 0.828
0.172 0.828 0.172
0.172 0.828 0.828
0.173 0.519 0.519
0.173 0.519 0.789
0.173 0.789 0.519
0.266 0.266 0.549
0.266 0.266 0.920
0.266 0.549 0.266
0.266 0.549 0.920
0.266 0.920 0.266
0.266 0.920 0.549
0.304 0.089 0.304
0.304 0.304 0.089
0.304 0.304 0.304
0.320 0.007 0.007
0.320 0.007 0.667
0.320 0.667 0.007
0.333 0.556 0.556
0.417 0.417 0.417
0.417 0.417 0.750
0.417 0.750 0.417
0.419 0.059 0.761
0.419 0.761 0.059
0.419 0.761 0.761
0.424 0.076 0.076
0.424 0.076 0.424
0.424 0.424 0.076
0.514 0.829 0.829
0.519 0.173 0.519
0.519 0.173 0.789
0.519 0.519 0.173
0.519 0.519 0.789
0.519 0.789 0.173
0.519 0.789 0.519
0.549 0.266 0.266
0.549 0.266 0.920
0.549 0.920 0.266
0.556 0.333 0.556
0.556 0.556 0.333
0.556 0.556 0.556
0.667 0.007 0.007
0.667 0.007 0.320
0.667 0.320 0.007
0.684 0.684 0.684
0.684 0.684 0.948
0.684 0.948 0.684
0.750 0.417 0.417
0.761 0.059 0.419
0.761 0.059 0.761
0.761 0.419 0.059
0.761 0.419 0.761
0.761 0.761 0.059
0.761 0.761 0.419
0.775 0.075 0.075
0.789 0.173 0.519
0.789 0.519 0.173
0.789 0.519 0.519
0.828 0.172 0.172
0.828 0.172 0.828
0.828 0.828 0.172
0.829 0.514 0.829
0.829 0.829 0.514
0.829 0.829 0.829
0.920 0.266 0.266
0.920 0.266 0.549
0.920 0.549 0.266
0.948 0.684 0.684
0.160 0.160 0.160
0.160 0.160 0.520
0.160 0.520 0.160
0.251 0.916 0.916
0.321 0.321 0.679
0.321 0.679 0.321
0.321 0.679 0.679
0.520 0.160 0.160
0.571 0.571 0.929
0.571 0.929 0.571
0.571 0.929 0.929
0.679 0.321 0.321
0.679 0.321 0.679
0.679 0.679 0.321
0.916 0.251 0.916
0.916 0.916 0.251
0.916 0.916 0.916
0.929 0.571 0.571
0.929 0.571 0.929
0.929 0.929 0.571
```

## Properties
Formation energy ... -384 meV/atom
Volume ... 1913.33 Å³ per cell
E_tot ... -0.61566 Ha/atom

2.
This record from the Alexandria database describes LiPb8 at its PBEsol-relaxed geometry. The functional is meta-GGA SCAN.

Geometry as POSCAR:
```
LiPb8
1.0
-5.159 5.159 2.435
5.159 -5.159 2.435
5.159 5.159 -2.435
Li Pb
1 8
Direct
0.000 0.000 0.000
0.000 0.329 0.329
0.000 0.671 0.671
0.329 0.000 0.329
0.336 0.336 0.671
0.336 0.664 0.000
0.664 0.336 0.000
0.664 0.664 0.329
0.671 0.000 0.671
```

## Properties
Formation energy ... -66 meV/atom
Volume ... 259.21 Å³ per cell
E_tot ... -2.48766 Ha/atom

3.
This record from the Alexandria database describes LiPd3Pb at its PBEsol-relaxed geometry. The functional is meta-GGA SCAN.

Geometry as POSCAR:
```
LiPd3Pb
1.0
5.028 0.000 0.000
0.000 5.028 0.000
0.000 0.000 5.028
Li Pd Pb
1 3 1
Direct
0.000 0.000 0.000
0.000 0.500 0.500
0.500 0.000 0.500
0.500 0.500 0.000
0.500 0.500 0.500
```

## Properties
Polymorph energy (0 for the lowest one) ... 0.477 eV per atom
Formation energy ... 545 meV/atom
Volume ... 127.15 Å³ per cell
E_tot ... -1.27719 Ha/atom

4.
This record from the Alexandria database describes LiPd3Pb at its PBEsol-relaxed geometry. The functional is meta-GGA SCAN.

Geometry as POSCAR:
```
LiPd3Pb
1.0
4.313 0.000 0.000
0.000 4.313 0.000
0.000 0.000 4.313
Li Pd Pb
1 3 1
Direct
0.000 0.000 0.000
0.000 0.000 0.500
0.000 0.500 0.000
0.500 0.000 0.000
0.500 0.500 0.500
```

## Properties
Polymorph energy (0 for the lowest one) ... 0.000 eV per atom
Formation energy ... 68 meV/atom
Volume ... 80.23 Å³ per cell
E_tot ... -1.29471 Ha/atom